Arrangement P

Density functional theory data (PBE-GGA) for LiLuTl after structural relaxation.

a b c (Å): 4.6438 4.6438 4.6438
angles (deg): 60.00 60.00 60.00
Fractional positions:
Li: 0.0000 0.0000 0.0000
Lu: 0.7500 0.7500 0.7500
Tl: 0.2500 0.2500 0.2500

Computed properties:
**Space-group type**: No. 216
**Size of the total moment**: 0.004 μB per formula unit

***

Arrangement Q

Density functional theory data (PBE-GGA) for LiLuTl after structural relaxation.

a b c (Å): 4.9343 4.9343 4.9343
angles (deg): 60.00 60.00 60.00
Fractional positions:
Li: 0.0000 0.0000 0.0000
Lu: 0.2500 0.2500 0.2500
Tl: 0.5000 0.5000 0.5000

Computed properties:
**Space-group type**: No. 216
**Size of the total moment**: 0.573 μB per formula unit

***

Decreasing stability: arrangement P, arrangement Q

***

Arrangement P

Density functional theory data (PBE-GGA) for LiLuW after structural relaxation.

a b c (Å): 4.3622 4.3622 4.3622
angles (deg): 60.00 60.00 60.00
Fractional positions:
Li: 0.0000 0.0000 0.0000
Lu: 0.7500 0.7500 0.7500
W: 0.2500 0.2500 0.2500

Computed properties:
**Space-group type**: No. 216
**Size of the total moment**: 0.356 μB per formula unit

***

Arrangement Q

Density functional theory data (PBE-GGA) for LiLuW after structural relaxation.

a b c (Å): 4.6649 4.6649 4.6649
angles (deg): 60.00 60.00 60.00
Fractional positions:
Li: 0.0000 0.0000 0.0000
Lu: 0.2500 0.2500 0.2500
W: 0.5000 0.5000 0.5000

Computed properties:
**Space-group type**: No. 216
**Size of the total moment**: 2.498 μB per formula unit

***

Decreasing stability: arrangement P, arrangement Q

***

Arrangement P

Density functional theory data (PBE-GGA) for LiNdMg2 after structural relaxation.

a b c (Å): 9.6182 9.6182 9.6182
angles (deg): 151.77 151.77 40.35
Fractional positions:
Li: 0.1070 0.1070 0.0000
Li: 0.8930 0.8930 0.0000
Nd: 0.2500 0.7500 0.5000
Nd: 0.7500 0.2500 0.5000
Mg: 0.0000 0.5000 0.5000
Mg: 0.3869 0.3869 0.0000
Mg: 0.5000 0.0000 0.5000
Mg: 0.6131 0.6131 0.0000

Computed properties:
**Space-group type**: No. 139
**Size of the total moment**: 0.004 μB per formula unit

***

Arrangement Q

Density functional theory data (PBE-GGA) for LiNdMg2 after structural relaxation.

a b c (Å): 3.5627 5.4589 5.4595
angles (deg): 90.00 90.00 90.00
Fractional positions:
Li: 0.0000 0.0000 0.0000
Nd: 0.0000 0.5000 0.4952
Mg: 0.5000 0.0000 0.5017
Mg: 0.5000 0.5000 0.9947

Computed properties:
**Space-group type**: No. 25
**Size of the total moment**: 0.002 μB per formula unit

***

Decreasing stability: arrangement P, arrangement Q

***

Arrangement P

Density functional theory data (PBE-GGA) for LiPmMg after structural relaxation.

a b c (Å): 5.1378 5.1378 5.1378
angles (deg): 60.00 60.00 60.00
Fractional positions:
Li: 0.0000 0.0000 0.0000
Pm: 0.2500 0.2500 0.2500
Mg: 0.5000 0.5000 0.5000

Computed properties:
**Space-group type**: No. 216
**Size of the total moment**: 0.089 μB per formula unit

***

Arrangement Q

Density functional theory data (PBE-GGA) for LiPmMg after structural relaxation.

a b c (Å): 4.9073 4.9073 4.9073
angles (deg): 60.00 60.00 60.00
Fractional positions:
Li: 0.0000 0.0000 0.0000
Pm: 0.2500 0.2500 0.2500
Mg: 0.7500 0.7500 0.7500

Computed properties:
**Space-group type**: No. 216
**Size of the total moment**: 0.008 μB per formula unit

***

Decreasing stability: arrangement Q, arrangement P

***

Arrangement P

Density functional theory data (PBE-GGA) for LiPrMg after structural relaxation.

a b c (Å): 5.2034 5.2034 5.2034
angles (deg): 60.00 60.00 60.00
Fractional positions:
Li: 0.0000 0.0000 0.0000
Pr: 0.2500 0.2500 0.2500
Mg: 0.5000 0.5000 0.5000

Computed properties:
**Space-group type**: No. 216
**Size of the total moment**: 0.069 μB per formula unit

***

Arrangement Q

Density functional theory data (PBE-GGA) for LiPrMg after structural relaxation.

a b c (Å): 4.9636 4.9636 4.9636
angles (deg): 60.00 60.00 60.00
Fractional positions:
Li: 0.0000 0.0000 0.0000
Pr: 0.2500 0.2500 0.2500
Mg: 0.7500 0.7500 0.7500

Computed properties:
**Space-group type**: No. 216
**Size of the total moment**: 0.001 μB per formula unit

***

Decreasing stability: arrangement Q, arrangement P

***

Arrangement P

Density functional theory data (PBE-GGA) for LiMgZnSb after structural relaxation.

a b c (Å): 4.8573 4.8573 4.8573
angles (deg): 60.00 60.00 60.00
Fractional positions:
Li: 0.0000 0.0000 0.0000
Mg: 0.5000 0.5000 0.5000
Zn: 0.2500 0.2500 0.2500
Sb: 0.7500 0.7500 0.7500

Computed properties:
**Space-group type**: No. 216

***

Arrangement Q

Density functional theory data (PBE-GGA) for LiMgZnSb after structural relaxation.

a b c (Å): 4.8602 4.8602 4.8602
angles (deg): 60.00 60.00 60.00
Fractional positions:
Li: 0.0000 0.0000 0.0000
Mg: 0.2500 0.2500 0.2500
Zn: 0.5000 0.5000 0.5000
Sb: 0.7500 0.7500 0.7500

Computed properties:
**Space-group type**: No. 216

***

Decreasing stability: arrangement P, arrangement Q

***

Arrangement P

Density functional theory data (PBE-GGA) for LiSmMg after structural relaxation.

a b c (Å): 4.8935 4.8935 4.8935
angles (deg): 60.00 60.00 60.00
Fractional positions:
Li: 0.0000 0.0000 0.0000
Sm: 0.2500 0.2500 0.2500
Mg: 0.7500 0.7500 0.7500

Computed properties:
**Space-group type**: No. 216
**Size of the total moment**: 0.010 μB per formula unit

***

Arrangement Q

Density functional theory data (PBE-GGA) for LiSmMg after structural relaxation.

a b c (Å): 5.1395 5.1395 5.1395
angles (deg): 60.00 60.00 60.00
Fractional positions:
Li: 0.0000 0.0000 0.0000
Sm: 0.2500 0.2500 0.2500
Mg: 0.5000 0.5000 0.5000

Computed properties:
**Space-group type**: No. 216
**Size of the total moment**: 0.046 μB per formula unit

***

Decreasing stability: arrangement P, arrangement Q

***

Arrangement P

Density functional theory data (PBE-GGA) for LiNiSbMo after structural relaxation.

a b c (Å): 4.3990 4.3990 4.3990
angles (deg): 60.00 60.00 60.00
Fractional positions:
Li: 0.0000 0.0000 0.0000
Ni: 0.5000 0.5000 0.5000
Sb: 0.2500 0.2500 0.2500
Mo: 0.7500 0.7500 0.7500

Computed properties:
**Space-group type**: No. 216
**Size of the total moment**: 2.842 μB per formula unit

***

Arrangement Q

Density functional theory data (PBE-GGA) for LiNiSbMo after structural relaxation.

a b c (Å): 4.3905 4.3905 4.3905
angles (deg): 60.00 60.00 60.00
Fractional positions:
Li: 0.0000 0.0000 0.0000
Ni: 0.7500 0.7500 0.7500
Sb: 0.5000 0.5000 0.5000
Mo: 0.2500 0.2500 0.2500

Computed properties:
**Space-group type**: No. 216
**Size of the total moment**: 0.556 μB per formula unit

***

Decreasing stability: arrangement Q, arrangement P